# 1
Crystalline CaYCo at its relaxed geometry, computed with PBE.

Cell lengths 3.844, 5.716, 7.637 Å; angles 99.76, 104.58, 90.00 degrees
Atoms (fractional coordinates):
Co  0.759  0.124  0.519
Co  0.241  0.876  0.481
Ca  0.585  0.792  0.171
Ca  0.415  0.208  0.829
Y  0.833  0.669  0.665
Y  0.167  0.331  0.335

Computed properties:
ΔE to the lowest computed polymorph in meV/atom: 58
Formation energy in eV/atom: -0.043


# 2
Crystalline Ca2YCo2 at its relaxed geometry, computed with PBE.

Cell lengths 8.222, 8.222, 3.212 Å; angles 90.00, 90.00, 90.00 degrees
Atoms (fractional coordinates):
Y  0.000  0.000  0.000
Y  0.500  0.500  0.000
Ca  0.371  0.871  0.000
Ca  0.871  0.629  0.000
Ca  0.629  0.129  0.000
Ca  0.129  0.371  0.000
Co  0.177  0.677  0.500
Co  0.677  0.823  0.500
Co  0.823  0.323  0.500
Co  0.323  0.177  0.500

Computed properties:
ΔE to the lowest computed polymorph in meV/atom: 301
Formation energy in eV/atom: 0.463


> Which value of formation energy does entry 1 give?

-0.043 eV/atom


> The highest ΔE to the lowest computed polymorph belongs to which entry?

Ca2YCo2